DyTm2Cu4Si4: optimized geometry, PBE.

## Properties
Magnetization ... 0.00 μB per formula unit
Space group ... Immm (71)
Raw total energy ... -5.198 eV per atom

abc: 7.8043 7.8043 7.8043
angles: 149.63 130.57 59.12
With the nearest neighbours (Å) after each atom.
Atoms (fractional coordinates):
Tm1 0.6291 0.1291 0.5000  6 Cu 2.92-3.01, 6 Si 2.92-2.95
Si1 0.6839 0.5000 0.1839  1 Si 2.40, 2 Cu 2.44
Tm2 0.3709 0.8709 0.5000  6 Cu 2.92-3.01, 6 Si 2.92-2.95
Si2 0.7830 0.7830 0.0000  6 Cu 2.48-2.54
Cu1 0.6393 0.3309 0.3084  4 Si 2.44-2.54, 1 Cu 2.50
Cu2 0.9775 0.6691 0.3084  4 Si 2.44-2.54, 1 Cu 2.50
Dy1 0.0000 0.0000 0.0000  6 Si 2.90-2.95
Si3 0.2170 0.2170 0.0000  6 Cu 2.48-2.54
Si4 0.3161 0.5000 0.8161  1 Si 2.40, 2 Cu 2.44
Cu3 0.0225 0.3309 0.6916  4 Si 2.44-2.54, 1 Cu 2.50
Cu4 0.3607 0.6691 0.6916  4 Si 2.44-2.54, 1 Cu 2.50



DyTmCu2Si4: optimized geometry, PBE.

## Properties
Magnetization ... 0.00 μB per formula unit
Space group ... Amm2 (38)
Raw total energy ... -5.328 eV per atom

abc: 3.9665 8.6696 8.6696
angles: 26.52 90.00 90.00
With the nearest neighbours (Å) after each atom.
Atoms (fractional coordinates):
Si1 0.0000 0.9632 0.9632  1 Cu 2.27, 2 Si 2.33
Tm1 0.5000 0.3986 0.3986  10 Si 3.01-3.20, 4 Cu 3.04
Cu1 0.0000 0.8289 0.8289  5 Si 2.27-2.39
Si2 0.0000 0.2508 0.2508  4 Cu 2.39
Dy1 0.0000 0.6013 0.6013  10 Si 3.02-3.21, 4 Cu 3.05
Cu2 0.5000 0.1714 0.1714  5 Si 2.29-2.39
Si3 0.5000 0.7500 0.7500  4 Cu 2.39
Si4 0.5000 0.0359 0.0359  1 Cu 2.29, 2 Si 2.33



DyYCuSi3: optimized geometry, PBE.

## Properties
Magnetization ... 0.00 μB per formula unit
Space group ... Fmmm (69)
Raw total energy ... -5.917 eV per atom

abc: 8.0182 7.9985 5.6860
angles: 69.39 69.02 41.59
With the nearest neighbours (Å) after each atom.
Atoms (fractional coordinates):
Cu1 0.3334 0.3334 0.6666  3 Si 2.26-2.28
Si1 0.8314 0.8314 0.1686  1 Cu 2.28, 2 Si 2.35
Dy1 0.7564 0.2436 0.7564  10 Si 3.05-3.08, 2 Cu 3.10
Si2 0.1711 0.6601 0.8289  1 Cu 2.26, 2 Si 2.34-2.35
Cu2 0.6666 0.6666 0.3334  3 Si 2.26-2.28
Dy2 0.2436 0.7564 0.2436  10 Si 3.05-3.08, 2 Cu 3.10
Y1 0.2500 0.2500 0.2500  8 Si 3.06, 4 Cu 3.07
Y2 0.7500 0.7500 0.7500  8 Si 3.06, 4 Cu 3.07
Si3 0.1686 0.1686 0.8314  1 Cu 2.28, 2 Si 2.35
Si4 0.6601 0.1711 0.3399  1 Cu 2.26, 2 Si 2.34-2.35
Si5 0.8289 0.3399 0.1711  1 Cu 2.26, 2 Si 2.34-2.35
Si6 0.3399 0.8289 0.6601  1 Cu 2.26, 2 Si 2.34-2.35



Dy2YCu4Si4: optimized geometry, PBE.

## Properties
Magnetization ... 0.00 μB per formula unit
Space group ... Immm (71)
Raw total energy ... -5.390 eV per atom

abc: 7.8560 7.8560 7.8560
angles: 149.52 130.86 58.93
With the nearest neighbours (Å) after each atom.
Atoms (fractional coordinates):
Cu1 0.0223 0.3313 0.6910  4 Si 2.45-2.56, 1 Cu 2.50
Dy1 0.6300 0.1300 0.5000  6 Cu 2.94-3.02, 6 Si 2.95-2.98
Si1 0.3156 0.5000 0.8156  1 Si 2.41, 2 Cu 2.45
Si2 0.7842 0.7842 0.0000  6 Cu 2.50-2.56
Y1 0.0000 0.0000 0.0000  6 Si 2.92-2.95
Si3 0.2158 0.2158 0.0000  6 Cu 2.50-2.56
Si4 0.6844 0.5000 0.1844  1 Si 2.41, 2 Cu 2.45
Dy2 0.3700 0.8700 0.5000  6 Cu 2.94-3.02, 6 Si 2.95-2.98
Cu2 0.3597 0.6687 0.6910  4 Si 2.45-2.56, 1 Cu 2.50
Cu3 0.9777 0.6687 0.3090  4 Si 2.45-2.56, 1 Cu 2.50
Cu4 0.6403 0.3313 0.3090  4 Si 2.45-2.56, 1 Cu 2.50



DyYCu2Si4: optimized geometry, PBE.

## Properties
Magnetization ... 0.00 μB per formula unit
Space group ... Amm2 (38)
Raw total energy ... -5.599 eV per atom

abc: 3.9778 8.6804 8.6804
angles: 26.74 90.00 90.00
With the nearest neighbours (Å) after each atom.
Atoms (fractional coordinates):
Si1 0.0000 0.2506 0.2506  4 Cu 2.39-2.40
Si2 0.0000 0.9637 0.9637  1 Cu 2.29, 2 Si 2.34
Y1 0.5000 0.3985 0.3985  10 Si 3.03-3.23, 4 Cu 3.07
Cu1 0.5000 0.1716 0.1716  5 Si 2.28-2.40
Cu2 0.0000 0.8282 0.8282  5 Si 2.29-2.40
Si3 0.5000 0.7491 0.7491  4 Cu 2.40
Dy1 0.0000 0.6018 0.6018  10 Si 3.03-3.22, 4 Cu 3.06
Si4 0.5000 0.0365 0.0365  1 Cu 2.28, 2 Si 2.34



DyZr2Cu4Si4: optimized geometry, PBE.

## Properties
Magnetization ... 0.01 μB per formula unit
Space group ... Immm (71)
Raw total energy ... -5.892 eV per atom

abc: 7.6331 7.6331 7.6331
angles: 149.92 129.38 60.01
With the nearest neighbours (Å) after each atom.
Atoms (fractional coordinates):
Cu1 0.3625 0.6708 0.6917  4 Si 2.40-2.48, 1 Cu 2.50
Cu2 0.9790 0.6708 0.3083  4 Si 2.40-2.48, 1 Cu 2.50
Cu3 0.6375 0.3292 0.3083  4 Si 2.40-2.48, 1 Cu 2.50
Dy1 0.0000 0.0000 0.0000  6 Si 2.86-2.91
Zr1 0.3756 0.8756 0.5000  6 Si 2.84-2.86, 6 Cu 2.89-2.98
Si1 0.3169 0.5000 0.8169  1 Si 2.39, 2 Cu 2.40
Zr2 0.6244 0.1244 0.5000  6 Si 2.84-2.86, 6 Cu 2.89-2.98
Si2 0.6831 0.5000 0.1831  1 Si 2.39, 2 Cu 2.40
Cu4 0.0210 0.3292 0.6917  4 Si 2.40-2.48, 1 Cu 2.50
Si3 0.2198 0.2198 0.0000  6 Cu 2.43-2.48
Si4 0.7802 0.7802 0.0000  6 Cu 2.43-2.48



Sm4DyCu2: optimized geometry, PBE.

## Properties
Magnetization ... 0.64 μB per formula unit
Space group ... Cmmm (65)
Calculated formation energy ... 0.1701 eV/atom
Raw total energy ... -4.241 eV per atom

abc: 7.3724 7.3724 3.7324
angles: 90.00 90.00 106.30
With the nearest neighbours (Å) after each atom.
Atoms (fractional coordinates):
Cu1 0.0000 0.5000 0.5000  6 Sm 2.92-2.99
Cu2 0.5000 0.0000 0.5000  6 Sm 2.92-2.99
Sm1 0.7850 0.2150 0.0000  4 Cu 2.92
Sm2 0.8058 0.8058 0.5000  2 Cu 2.99, 2 Dy 3.29
Sm3 0.1942 0.1942 0.5000  2 Cu 2.99, 2 Dy 3.29
Sm4 0.2150 0.7850 0.0000  4 Cu 2.92
Dy1 0.5000 0.5000 0.0000  6 Sm 3.29-3.36



SmDy3Cu: optimized geometry, PBE.

## Properties
Magnetization ... 1.37 μB per formula unit
Space group ... P-6c2 (188)
Calculated formation energy ... 0.1098 eV/atom
Raw total energy ... -4.337 eV per atom

abc: 7.1081 7.0111 7.0111
angles: 60.00 90.00 90.00
With the nearest neighbours (Å) after each atom.
Atoms (fractional coordinates):
Cu1 0.0000 0.0000 0.0000  6 Dy 2.74
Dy1 0.7500 0.8659 0.3414  2 Cu 2.74
Cu2 0.5000 0.0000 0.0000  6 Dy 2.74
Dy2 0.7500 0.3414 0.7926  2 Cu 2.74
Sm1 0.5000 0.3333 0.3333  2 Sm 3.55, 6 Dy 3.70
Dy3 0.7500 0.7926 0.8660  2 Cu 2.74
Dy4 0.2500 0.7926 0.3414  2 Cu 2.74
Dy5 0.2500 0.8660 0.7926  2 Cu 2.74
Dy6 0.2500 0.3414 0.8659  2 Cu 2.74
Sm2 0.0000 0.3333 0.3333  2 Sm 3.55, 6 Dy 3.70



SmDyCu: optimized geometry, PBE.

## Properties
Magnetization ... 0.07 μB per formula unit
Offset from the most stable computed form ... 0 meV/atom
Space group ... F-43m (216)
Calculated formation energy ... 0.1038 eV/atom
Raw total energy ... -4.239 eV per atom

abc: 4.7785 4.7785 4.7785
angles: 60.00 60.00 60.00
With the nearest neighbours (Å) after each atom.
Atoms (fractional coordinates):
Sm1 0.7500 0.7500 0.7500  4 Cu 2.93
Cu1 0.0000 0.0000 0.0000  4 Sm 2.93, 4 Dy 2.93
Dy1 0.2500 0.2500 0.2500  4 Cu 2.93



Sm2DyCu4Sn4: optimized geometry, PBE.

## Properties
Magnetization ... 0.02 μB per formula unit
Space group ... Immm (71)
Raw total energy ... -4.614 eV per atom

abc: 8.5164 8.5164 8.5164
angles: 149.15 132.01 58.14
With the nearest neighbours (Å) after each atom.
Atoms (fractional coordinates):
Cu1 0.9834 0.6691 0.3142  1 Cu 2.57, 4 Sn 2.63-2.77
Cu2 0.3549 0.6691 0.6858  1 Cu 2.57, 4 Sn 2.63-2.77
Cu3 0.0166 0.3309 0.6858  1 Cu 2.57, 4 Sn 2.63-2.77
Sn1 0.2954 0.5000 0.7954  2 Cu 2.63, 1 Sn 2.83
Sm1 0.3682 0.8682 0.5000  6 Cu 3.19-3.23, 6 Sn 3.21-3.32
Sn2 0.2154 0.2154 0.0000  6 Cu 2.69-2.77
Sn3 0.7846 0.7846 0.0000  6 Cu 2.69-2.77
Dy1 0.0000 0.0000 0.0000  6 Sn 3.05-3.21
Sm2 0.6318 0.1318 0.5000  6 Cu 3.19-3.23, 6 Sn 3.21-3.32
Sn4 0.7046 0.5000 0.2046  2 Cu 2.63, 1 Sn 2.83
Cu4 0.6451 0.3309 0.3142  1 Cu 2.57, 4 Sn 2.63-2.77



SmDyCu2Sn2: optimized geometry, PBE.

## Properties
Magnetization ... 0.01 μB per formula unit
Space group ... P3m1 (156)
Raw total energy ... -4.730 eV per atom

abc: 4.5653 4.5653 7.3374
angles: 90.00 90.00 120.00
With the nearest neighbours (Å) after each atom.
Atoms (fractional coordinates):
Cu1 0.6667 0.3333 0.5557  4 Sn 2.71-2.97, 3 Dy 2.95
Sn1 0.3333 0.6667 0.4699  3 Cu 2.71
Cu2 0.3333 0.6667 0.0427  3 Sn 2.70, 3 Sm 2.99
Sn2 0.6667 0.3333 0.9611  4 Cu 2.70-2.97
Sm1 0.0000 0.0000 0.2356  3 Cu 2.99, 6 Sn 3.15-3.32
Dy1 0.0000 0.0000 0.7350  3 Cu 2.95, 6 Sn 3.11-3.28



SmDyTlCu2: optimized geometry, PBE.

## Properties
Magnetization ... 0.02 μB per formula unit
Space group ... Amm2 (38)
Raw total energy ... -4.130 eV per atom

abc: 3.6419 7.3907 7.3907
angles: 33.91 90.00 90.00
With the nearest neighbours (Å) after each atom.
Atoms (fractional coordinates):
Sm1 0.0000 0.6334 0.6334  6 Cu 2.96-3.00
Cu1 0.5000 0.7987 0.7987  2 Cu 2.53, 1 Tl 2.82
Dy1 0.0000 0.3647 0.3647  6 Cu 2.90-2.97
Tl1 0.5000 0.9981 0.9981  2 Cu 2.82-2.92
Cu2 0.5000 0.2050 0.2050  2 Cu 2.53